Record 1
First-principles (PBE) data for a relaxed CoBi10S10 crystal, as listed in the Open Quantum Materials Database.

Cell and atoms, written as POSCAR:
```
CoBi10S10
1.0
10.7387 0.0000 0.0000
0.0000 8.5495 0.0000
0.0000 0.0000 12.5578
Bi Co S
20 2 20
Direct
0.0000 0.2656 0.0000 Bi
0.0000 0.7344 0.0000 Bi
0.6344 0.2810 0.0872 Bi
0.6344 0.7190 0.0872 Bi
0.3604 0.5000 0.1694 Bi
0.2475 0.0000 0.1817 Bi
0.7475 0.0000 0.3183 Bi
0.8604 0.5000 0.3306 Bi
0.1344 0.2810 0.4128 Bi
0.1344 0.7190 0.4128 Bi
0.5000 0.2656 0.5000 Bi
0.5000 0.7344 0.5000 Bi
0.8656 0.2810 0.5872 Bi
0.8656 0.7190 0.5872 Bi
0.1396 0.5000 0.6694 Bi
0.2525 0.0000 0.6817 Bi
0.7525 0.0000 0.8183 Bi
0.6396 0.5000 0.8306 Bi
0.3656 0.2810 0.9128 Bi
0.3656 0.7190 0.9128 Bi
0.5000 0.5000 0.0000 Co
0.0000 0.5000 0.5000 Co
0.8283 0.0000 0.0185 S
0.8532 0.5000 0.0848 S
0.4941 0.0000 0.1480 S
0.1547 0.3055 0.1884 S
0.1547 0.6945 0.1884 S
0.6547 0.3055 0.3116 S
0.6547 0.6945 0.3116 S
0.9941 0.0000 0.3520 S
0.3532 0.5000 0.4152 S
0.3283 0.0000 0.4815 S
0.6717 0.0000 0.5185 S
0.6468 0.5000 0.5848 S
0.0059 0.0000 0.6480 S
0.3453 0.3055 0.6884 S
0.3453 0.6945 0.6884 S
0.8453 0.3055 0.8116 S
0.8453 0.6945 0.8116 S
0.5059 0.0000 0.8520 S
0.1468 0.5000 0.9152 S
0.1717 0.0000 0.9815 S
```

Properties
The calculation puts the total moment at 0.02 μB per formula unit. The total energy comes out at -4.324 eV per atom.

=====

Record 2
First-principles (PBE) data for a relaxed PrLuTe crystal, as listed in the Open Quantum Materials Database.

Cell and atoms, written as POSCAR:
```
PrLuTe
1.0
-2.9548 2.3862 3.4634
-5.1041 0.0865 -0.6001
-3.0039 -2.7435 3.1416
Lu Pr Te
1 1 1
Direct
0.2500 0.2500 0.2500 Lu
0.7500 0.7500 0.7500 Pr
0.0000 0.0000 0.0000 Te
```

Properties
The calculation puts the total moment at 0.97 μB per formula unit. The total energy comes out at -4.602 eV per atom.

=====

Record 3
First-principles (PBE) data for a relaxed Zr3Co2Ge3 crystal, as listed in the Open Quantum Materials Database.

Cell and atoms, written as POSCAR:
```
Zr3Co2Ge3
1.0
3.1731 4.1722 -1.5561
-4.4746 -0.7864 3.0425
7.5865 -1.7800 10.6972
Co Ge Zr
4 6 6
Direct
0.7761 0.2239 0.0858 Co
0.7761 0.2239 0.4142 Co
0.2239 0.7761 0.5858 Co
0.2239 0.7761 0.9142 Co
0.3873 0.6127 0.0445 Ge
0.6586 0.3414 0.2500 Ge
0.3873 0.6127 0.4555 Ge
0.6127 0.3873 0.5445 Ge
0.3414 0.6586 0.7500 Ge
0.6127 0.3873 0.9555 Ge
0.0764 0.9236 0.1144 Zr
0.3611 0.6389 0.2500 Zr
0.0764 0.9236 0.3856 Zr
0.9236 0.0764 0.6144 Zr
0.6389 0.3611 0.7500 Zr
0.9236 0.0764 0.8856 Zr
```

Properties
The calculation puts the total moment at 0.90 μB per formula unit. The total energy comes out at -7.425 eV per atom.

=====

The lowest total moment belongs to which entry?
CoBi10S10